The following is a PBE calculation of crystalline LaZr2FeAu at its relaxed geometry, from Alexandria via LeMat-Bulk.

Cell: 5.215 5.215 4.817 Å, 90.00 90.00 90.00°
Sites, in units of the cell vectors:
1 La 0.000 0.000 0.000
2 Zr 0.000 0.500 0.500
3 Zr 0.500 0.000 0.500
4 Fe 0.500 0.500 0.000
5 Au 0.500 0.500 0.500

Calculated values
Energy of formation from the pure elements (meV/atom): 773
Density (g/cm³): 7.28